Density functional theory data (PBE+U) for a geometry-optimized HgGeMo2F structure.

POSCAR file:
```
HgGeMo2F
1.0
4.9284 0.0000 0.0000
0.0000 4.4491 0.0000
0.0000 0.0000 4.9284
Mo Ge Hg F
2 1 1 1
Cartesian
0.0000 0.0000 2.4642 Mo
2.4642 0.0000 0.0000 Mo
0.0000 2.2245 0.0000 Ge
2.4642 2.2245 2.4642 Hg
0.0000 0.0000 0.0000 F
```

final energy = -3.65 eV/atom
space-group type = No. 123